[1]
BaGd2Sc | GGA-PBE | relaxed

## Properties
Formation enthalpy at 0 K (eV/atom): 0.146
Polymorph energy (0 for the lowest one) (eV per atom): 0.0000

a = 3.8849 Å, b = 3.8849 Å, c = 9.6008 Å
α = 90.00°, β = 90.00°, γ = 90.00°
Space group P4/mmm (No. 123)
Asymmetric unit:
Ba  0.0000  0.0000  0.0000 [1 per cell]
Gd  0.5000  0.5000  0.3097 [2 per cell]
Sc  0.0000  0.0000  0.5000 [1 per cell]

[2]
KLiOs | GGA-PBE | relaxed

## Properties
Formation enthalpy at 0 K (eV/atom): 0.886
Polymorph energy (0 for the lowest one) (eV per atom): 0.2454

a = 2.5664 Å, b = 4.4881 Å, c = 11.4812 Å
α = 90.00°, β = 90.00°, γ = 90.00°
Space group Imm2 (No. 44)
Asymmetric unit:
K  0.0000  0.0000  0.0000 [2 per cell]
Li  0.0000  0.0000  0.7277 [2 per cell]
Os  0.0000  0.0000  0.2919 [2 per cell]

[3]
Ge3PtSe | GGA-PBE | relaxed

## Properties
Polymorph energy (0 for the lowest one) (eV per atom): 0.7640
Formation energy (no corrections) (kJ per mole of atoms): 93.44

a = 4.9642 Å, b = 4.9642 Å, c = 4.9642 Å
α = 90.00°, β = 90.00°, γ = 90.00°
Space group Pm-3m (No. 221)
Asymmetric unit:
Ge  0.0000  0.0000  0.5000 [3 per cell]
Pt  0.5000  0.5000  0.5000 [1 per cell]
Se  0.0000  0.0000  0.0000 [1 per cell]

[4]
PuInGa | GGA-PBE | relaxed

## Properties
Formation enthalpy at 0 K (eV/atom): -0.239
Polymorph energy (0 for the lowest one) (eV per atom): 0.0044

a = 4.8547 Å, b = 4.8547 Å, c = 3.4270 Å
α = 90.00°, β = 90.00°, γ = 120.00°
Space group P-6m2 (No. 187)
Asymmetric unit:
Pu  0.0000  0.0000  0.0000 [1 per cell]
In  0.6667  0.3333  0.5000 [1 per cell]
Ga  0.3333  0.6667  0.5000 [1 per cell]

[5]
CdTe2Pd8 | GGA-PBE | relaxed

## Properties
Polymorph energy (0 for the lowest one) (eV per atom): 0.0266
Formation energy (no corrections) (kJ per mole of atoms): -25.65

a = 4.7396 Å, b = 6.2015 Å, c = 7.5872 Å
α = 112.40°, β = 106.03°, γ = 94.89°
Space group P1 (No. 1)
Asymmetric unit:
Cd  0.0000  0.0000  0.0000 [1 per cell]
Te  0.3679  0.2974  0.6830 [1 per cell]
Te  0.6857  0.6148  0.3176 [1 per cell]
Pd  0.1814  0.8945  0.3371 [1 per cell]
Pd  0.2167  0.4435  0.3919 [1 per cell]
Pd  0.3854  0.9022  0.7505 [1 per cell]
Pd  0.3881  0.6759  0.0002 [1 per cell]
Pd  0.6350  0.1520  0.2490 [1 per cell]
Pd  0.8244  0.0522  0.6078 [1 per cell]
Pd  0.8438  0.5580  0.6635 [1 per cell]
Pd  0.8775  0.4259  0.0001 [1 per cell]

[6]
LiSnPd6 | GGA-PBE | relaxed

## Properties
Formation enthalpy at 0 K (eV/atom): -0.265
Polymorph energy (0 for the lowest one) (eV per atom): 0.1072

a = 5.0943 Å, b = 5.0964 Å, c = 5.0990 Å
α = 93.95°, β = 94.01°, γ = 93.82°
Space group P-1 (No. 2)
Asymmetric unit:
Li  0.0000  0.0000  0.0000 [1 per cell]
Sn  0.5000  0.5000  0.5000 [1 per cell]
Pd  0.0477  0.7506  0.4390 [2 per cell]
Pd  0.2494  0.5606  0.9516 [2 per cell]
Pd  0.4397  0.0473  0.7505 [2 per cell]